An optimized crystal structure of CsYZnSe3. Source: OQMD, functional PBE-GGA.

```
CsYZnSe3
1.0
9.7139 0.0000 0.0000
0.0000 4.1874 0.0000
-3.7919 0.0000 9.5225
Se Y Zn Cs
6 2 2 2
direct
0.4790 0.7500 0.1586
0.8081 0.2500 0.4541
0.8793 0.7500 0.1396
0.1207 0.2500 0.8604
0.1919 0.7500 0.5459
0.5210 0.2500 0.8414
0.6707 0.2500 0.1360
0.3293 0.7500 0.8640
0.9187 0.7500 0.3883
0.0813 0.2500 0.6117
0.2217 0.2500 0.2479
0.7783 0.7500 0.7521
```

Summary:
As for the space group: No. 11. The calculation puts the total energy at -4.582 eV/atom. Its crystal system is monoclinic.

***

An optimized crystal structure of Li4ZnPdPb2. Source: OQMD, functional PBE-GGA.

```
Li4ZnPdPb2
1.0
-0.8476 4.1269 1.8397
-4.1959 -1.4135 1.2375
2.4205 -2.0947 5.8143
Pb Li Pd Zn
2 4 1 1
direct
0.5000 0.0000 0.7457
0.0000 0.5000 0.2543
0.5000 0.5000 0.0000
0.0000 0.5000 0.7424
0.5000 0.0000 0.2576
0.0000 0.0000 0.5000
0.5000 0.5000 0.5000
0.0000 0.0000 0.0000
```

Summary:
As for the space group: No. 115. The calculation puts the total energy at -3.036 eV/atom. Its crystal system is tetragonal.

***

An optimized crystal structure of CdS2O7. Source: OQMD, functional PBE-GGA.

```
CdS2O7
1.0
-3.8176 -3.2772 -0.3995
8.3119 -9.7258 0.3535
-0.3964 -0.0459 8.0579
O Cd S
28 4 8
direct
0.0318 0.6686 0.0686
0.3682 0.6128 0.5892
0.6648 0.9432 0.3508
0.0324 0.7385 0.7887
0.1318 0.1128 0.9108
0.8682 0.8872 0.0892
0.4550 0.7039 0.9373
0.5324 0.7615 0.2887
0.6318 0.3872 0.4108
0.9682 0.3314 0.9314
0.9676 0.2615 0.2113
0.5318 0.8314 0.5686
0.1783 0.4389 0.6180
0.3217 0.9389 0.8820
0.1648 0.5568 0.8508
0.5450 0.2961 0.0627
0.4676 0.2385 0.7113
0.9085 0.9853 0.7317
0.4682 0.1686 0.4314
0.3352 0.0568 0.6492
0.8217 0.5611 0.3820
0.0450 0.2039 0.5627
0.4085 0.5147 0.2317
0.0915 0.0147 0.2683
0.9550 0.7961 0.4373
0.5915 0.4853 0.7683
0.6783 0.0611 0.1180
0.8352 0.4432 0.1492
0.1830 0.6575 0.3350
0.3170 0.1575 0.1650
0.6830 0.8425 0.8350
0.8170 0.3425 0.6650
0.6591 0.4792 0.3064
0.3409 0.5208 0.6936
0.6748 0.8220 0.4168
0.1748 0.6780 0.9168
0.8252 0.3220 0.0832
0.3252 0.1780 0.5833
0.1591 0.0208 0.8064
0.8409 0.9792 0.1936
```

Summary:
As for the space group: No. 14. The calculation puts the total energy at -5.648 eV/atom. Its crystal system is monoclinic.